Version a
La5Sm2Tm2: optimized geometry, GGA-PBE.

Output
- DOS at the Fermi energy (states/eV/atom) = 1.31
- SG = Ima2 (46)

Cell lengths 10.166, 10.166, 10.166 Å; angles 84.80, 109.00, 139.90 degrees
Fractional positions:
La  0.065  0.484  0.869
La  0.065  0.695  0.080
La  0.073  0.076  0.497
La  0.229  0.050  0.279
La  0.229  0.450  0.679
La  0.579  0.576  0.503
La  0.615  0.195  0.131
La  0.615  0.984  0.920
La  0.771  0.550  0.321
La  0.771  0.950  0.721
Sm  0.613  0.868  0.246
Sm  0.622  0.368  0.754
Sm  0.643  0.143  0.500
Sm  0.643  0.643  0.000
Tm  0.172  0.309  0.121
Tm  0.172  0.551  0.363
Tm  0.187  0.051  0.879
Tm  0.187  0.809  0.637

Version b
La5Sm2Tm2: optimized geometry, GGA-PBE.

Output
- DOS at the Fermi energy (states/eV/atom) = 1.80
- SG = C2/m (12)

Cell lengths 6.371, 6.371, 10.973 Å; angles 107.23, 107.23, 47.85 degrees
Fractional positions:
La  0.000  0.000  0.000
La  0.333  0.333  0.446
La  0.334  0.334  0.111
La  0.666  0.666  0.889
La  0.667  0.667  0.554
Sm  0.000  0.000  0.332
Sm  0.000  0.000  0.668
Tm  0.331  0.331  0.776
Tm  0.669  0.669  0.224

Stability, lowest: version a

Version a
La4Sm6Tm: optimized geometry, GGA-PBE.

Output
- DOS at the Fermi energy (states/eV/atom) = 1.56
- SG = I-42m (121)

Cell lengths 9.670, 9.670, 9.670 Å; angles 138.30, 138.30, 60.44 degrees
Fractional positions:
La  0.132  0.132  0.621
La  0.489  0.868  0.000
La  0.511  0.511  0.379
La  0.868  0.489  0.000
Sm  0.000  0.500  0.500
Sm  0.057  0.715  0.000
Sm  0.285  0.285  0.342
Sm  0.500  0.000  0.500
Sm  0.715  0.057  0.000
Sm  0.943  0.943  0.658
Tm  0.500  0.500  0.000

Version b
La4Sm6Tm: optimized geometry, GGA-PBE.

Output
- DOS at the Fermi energy (states/eV/atom) = 1.48
- SG = I-42m (121)

Cell lengths 9.790, 9.790, 9.790 Å; angles 139.84, 139.84, 58.09 degrees
Fractional positions:
La  0.204  0.204  0.665
La  0.461  0.796  0.000
La  0.539  0.539  0.335
La  0.796  0.461  0.000
Sm  0.000  0.500  0.500
Sm  0.009  0.638  0.000
Sm  0.362  0.362  0.371
Sm  0.500  0.000  0.500
Sm  0.638  0.009  0.000
Sm  0.991  0.991  0.629
Tm  0.000  0.000  0.000

Stability, lowest: version a

Version a
La3Sm4Tm5: optimized geometry, GGA-PBE.

Output
- DOS at the Fermi energy (states/eV/atom) = 1.38
- SG = P-1 (2)

Cell lengths 6.231, 7.193, 8.830 Å; angles 89.73, 89.86, 89.95 degrees
Fractional positions:
La  0.000  0.000  0.000
La  0.168  0.250  0.332
La  0.832  0.750  0.668
Sm  0.171  0.750  0.333
Sm  0.331  0.499  0.670
Sm  0.669  0.501  0.330
Sm  0.829  0.250  0.667
Tm  0.000  0.500  0.000
Tm  0.336  0.000  0.670
Tm  0.498  0.749  0.001
Tm  0.502  0.251  0.999
Tm  0.664  0.000  0.330

Version b
La3Sm4Tm5: optimized geometry, GGA-PBE.

Output
- DOS at the Fermi energy (states/eV/atom) = 1.59
- SG = C2/m (12)

Cell lengths 8.572, 8.572, 9.407 Å; angles 114.79, 114.79, 40.97 degrees
Fractional positions:
La  0.000  0.000  0.000
La  0.289  0.289  0.765
La  0.711  0.711  0.235
Sm  0.294  0.294  0.120
Sm  0.416  0.416  0.555
Sm  0.584  0.584  0.445
Sm  0.706  0.706  0.880
Tm  0.070  0.070  0.696
Tm  0.171  0.171  0.386
Tm  0.500  0.500  0.000
Tm  0.829  0.829  0.614
Tm  0.930  0.930  0.304

Stability, lowest: version b

Version a
LaSm7Tm3: optimized geometry, GGA-PBE.

Output
- DOS at the Fermi energy (states/eV/atom) = 1.45
- SG = P2_1/m (11)

Cell lengths 7.011, 11.098, 10.177 Å; angles 90.00, 109.68, 90.00 degrees
Fractional positions:
La  0.000  0.000  0.000
La  0.000  0.500  0.000
Sm  0.091  0.043  0.678
Sm  0.091  0.457  0.678
Sm  0.171  0.750  0.819
Sm  0.303  0.250  0.110
Sm  0.368  0.750  0.180
Sm  0.422  0.016  0.332
Sm  0.422  0.484  0.332
Sm  0.578  0.516  0.668
Sm  0.578  0.984  0.668
Sm  0.632  0.250  0.820
Sm  0.697  0.750  0.890
Sm  0.829  0.250  0.181
Sm  0.909  0.543  0.322
Sm  0.909  0.957  0.322
Tm  0.242  0.250  0.474
Tm  0.268  0.750  0.512
Tm  0.500  0.000  0.000
Tm  0.500  0.500  0.000
Tm  0.732  0.250  0.488
Tm  0.758  0.750  0.526

Version b
LaSm7Tm3: optimized geometry, GGA-PBE.

Output
- DOS at the Fermi energy (states/eV/atom) = 1.60
- SG = P3m1 (156)

Cell lengths 7.167, 7.167, 8.641 Å; angles 90.00, 90.00, 120.00 degrees
Fractional positions:
La  0.000  0.000  0.000
Sm  0.166  0.332  0.333
Sm  0.166  0.834  0.333
Sm  0.501  0.002  0.985
Sm  0.501  0.499  0.985
Sm  0.667  0.333  0.320
Sm  0.668  0.834  0.333
Sm  0.998  0.499  0.985
Tm  0.335  0.167  0.657
Tm  0.833  0.167  0.657
Tm  0.833  0.665  0.657

Stability, lowest: version b

Version a
La3Sm4Tm: optimized geometry, GGA-PBE.

Output
- DOS at the Fermi energy (states/eV/atom) = 1.23
- SG = Pmn2_1 (31)

Cell lengths 11.827, 6.330, 7.350 Å; angles 90.00, 90.00, 90.00 degrees
Fractional positions:
La  0.000  0.167  0.000
La  0.248  0.998  0.751
La  0.252  0.002  0.251
La  0.500  0.833  0.500
La  0.748  0.002  0.251
La  0.752  0.998  0.751
Sm  0.000  0.167  0.501
Sm  0.000  0.668  0.250
Sm  0.249  0.499  0.500
Sm  0.251  0.501  0.000
Sm  0.500  0.332  0.750
Sm  0.500  0.833  0.001
Sm  0.749  0.501  0.000
Sm  0.751  0.499  0.500
Tm  0.000  0.666  0.748
Tm  0.500  0.334  0.248

Version b
La3Sm4Tm: optimized geometry, GGA-PBE.

Output
- DOS at the Fermi energy (states/eV/atom) = 1.51
- SG = Immm (71)

Cell lengths 9.085, 9.085, 9.085 Å; angles 157.49, 97.91, 86.48 degrees
Fractional positions:
La  0.000  0.000  0.000
La  0.258  0.758  0.500
La  0.742  0.242  0.500
Sm  0.121  0.366  0.754
Sm  0.388  0.634  0.754
Sm  0.612  0.366  0.246
Sm  0.879  0.634  0.246
Tm  0.500  0.500  0.000

Stability, lowest: version b

Version a
La8SmTm2: optimized geometry, GGA-PBE.

Output
- DOS at the Fermi energy (states/eV/atom) = 1.82
- SG = C2/m (12)

Cell lengths 9.701, 9.701, 8.239 Å; angles 104.86, 104.86, 31.28 degrees
Fractional positions:
La  0.047  0.047  0.226
La  0.138  0.138  0.688
La  0.317  0.317  0.587
La  0.407  0.407  0.045
La  0.593  0.593  0.955
La  0.683  0.683  0.413
La  0.862  0.862  0.312
La  0.953  0.953  0.774
Sm  0.500  0.500  0.500
Tm  0.227  0.227  0.134
Tm  0.773  0.773  0.866

Version b
La8SmTm2: optimized geometry, GGA-PBE.

Output
- DOS at the Fermi energy (states/eV/atom) = 1.48
- SG = C2/m (12)

Cell lengths 9.602, 9.602, 6.091 Å; angles 105.71, 105.71, 122.33 degrees
Fractional positions:
La  0.096  0.337  0.685
La  0.206  0.794  0.000
La  0.337  0.096  0.685
La  0.421  0.421  0.202
La  0.579  0.579  0.798
La  0.663  0.904  0.315
La  0.794  0.206  0.000
La  0.904  0.663  0.315
Sm  0.000  0.000  0.000
Tm  0.312  0.688  0.500
Tm  0.688  0.312  0.500

Stability, lowest: version b

Version a
La8Sm3Tm2: optimized geometry, GGA-PBE.

Output
- DOS at the Fermi energy (states/eV/atom) = 1.39
- SG = C2/m (12)

Cell lengths 10.977, 10.977, 5.904 Å; angles 90.03, 90.03, 41.34 degrees
Fractional positions:
La  0.096  0.691  0.000
La  0.176  0.176  0.501
La  0.309  0.904  0.000
La  0.366  0.366  0.501
La  0.634  0.634  0.499
La  0.691  0.096  0.000
La  0.824  0.824  0.499
La  0.904  0.309  0.000
Sm  0.217  0.783  0.500
Sm  0.500  0.500  0.000
Sm  0.783  0.217  0.500
Tm  0.259  0.259  0.002
Tm  0.741  0.741  0.998

Version b
La8Sm3Tm2: optimized geometry, GGA-PBE.

Output
- DOS at the Fermi energy (states/eV/atom) = 1.70
- SG = C2/m (12)

Cell lengths 8.974, 8.974, 6.231 Å; angles 106.56, 106.56, 83.33 degrees
Fractional positions:
La  0.053  0.053  0.294
La  0.072  0.584  0.834
La  0.355  0.355  0.439
La  0.416  0.928  0.166
La  0.584  0.072  0.834
La  0.645  0.645  0.561
La  0.928  0.416  0.166
La  0.947  0.947  0.706
Sm  0.249  0.751  0.500
Sm  0.500  0.500  0.000
Sm  0.751  0.249  0.500
Tm  0.210  0.210  0.843
Tm  0.790  0.790  0.157

Stability, lowest: version a

Version a
La12Sm5Tm2: optimized geometry, GGA-PBE.

Output
- DOS at the Fermi energy (states/eV/atom) = 1.78
- SG = C2/m (12)

Cell lengths 12.324, 12.324, 5.864 Å; angles 103.32, 103.32, 51.57 degrees
Fractional positions:
La  0.027  0.585  0.806
La  0.072  0.072  0.017
La  0.124  0.712  0.437
La  0.288  0.876  0.563
La  0.379  0.379  0.797
La  0.415  0.973  0.194
La  0.585  0.027  0.806
La  0.621  0.621  0.203
La  0.712  0.124  0.437
La  0.876  0.288  0.563
La  0.928  0.928  0.983
La  0.973  0.415  0.194
Sm  0.209  0.209  0.692
Sm  0.317  0.317  0.253
Sm  0.500  0.500  0.500
Sm  0.683  0.683  0.747
Sm  0.791  0.791  0.308
Tm  0.299  0.701  0.000
Tm  0.701  0.299  0.000

Version b
La12Sm5Tm2: optimized geometry, GGA-PBE.

Output
- DOS at the Fermi energy (states/eV/atom) = 1.70
- SG = C2/m (12)

Cell lengths 10.483, 10.483, 10.160 Å; angles 114.61, 114.61, 42.79 degrees
Fractional positions:
La  0.003  0.003  0.210
La  0.067  0.601  0.503
La  0.089  0.592  0.154
La  0.399  0.933  0.497
La  0.408  0.911  0.846
La  0.488  0.488  0.664
La  0.512  0.512  0.336
La  0.592  0.089  0.154
La  0.601  0.067  0.503
La  0.911  0.408  0.846
La  0.933  0.399  0.497
La  0.997  0.997  0.790
Sm  0.000  0.000  0.500
Sm  0.173  0.173  0.165
Sm  0.324  0.324  0.807
Sm  0.676  0.676  0.193
Sm  0.827  0.827  0.835
Tm  0.301  0.699  0.000
Tm  0.699  0.301  0.000

Stability, lowest: version b